Compound: Mg2AlBr
Source: Alexandria via LeMat-Bulk
Functional: meta-GGA SCAN
Structure: PBEsol geometry

Cell lengths 5.1647, 5.1647, 5.1647 Å; angles 60.00, 60.00, 60.00 degrees
With the nearest neighbours (Å) after each atom.
Element x y z (fractional)
Al1 0.5000 0.5000 0.5000  4 Br 3.16, 4 Mg 3.16
Br1 0.2500 0.2500 0.2500  4 Mg 3.16, 4 Al 3.16
Mg1 0.0000 0.0000 0.0000  4 Br 3.16, 4 Mg 3.16
Mg2 0.7500 0.7500 0.7500  4 Al 3.16, 4 Mg 3.16

Results
Raw total energy = -36.04 eV for the cell shown
E_form (uncorrected) = 0.280 eV/atom
Space group = No. 216
Excess energy over the best structure of this formula in the dataset = 0.616 eV per atom